Material: PmYHo2P4
Method: DFT, PBE
State: optimized geometry Values from VASP.

Uncorrected energy: -0.252 hartree per atom
DFT formation energy: -1600 meV/atom
Space-group type: P2/m, No. 10

```
&SYSTEM
  ibrav = 0, nat = 8, ntyp = 4
/
ATOMIC_SPECIES
Pm 145.00 Pm.upf
Ho 164.93 Ho.upf
P 30.97 P.upf
Y 88.91 Y.upf
CELL_PARAMETERS angstrom
4.0323 0.0000 0.0000
0.0000 6.9789 0.1220
0.0000 -2.4408 6.5399
ATOMIC_POSITIONS crystal
Pm 0.5000 0.5000 0.0000
Ho 0.0000 0.5000 0.5000
Ho 0.5000 0.0000 0.5000
P 0.5000 0.2483 0.2542
P 0.0000 0.2448 0.7434
P 0.0000 0.7552 0.2566
P 0.5000 0.7517 0.7458
Y 0.0000 0.0000 0.0000
```

=====

Material: PrHo3P4
Method: DFT, PBE
State: optimized geometry Values from VASP.

Uncorrected energy: -0.242 hartree per atom
DFT formation energy: -1574 meV/atom
Space-group type: Cmmm, No. 65

```
&SYSTEM
  ibrav = 0, nat = 8, ntyp = 3
/
ATOMIC_SPECIES
Ho 164.93 Ho.upf
P 30.97 P.upf
Pr 140.91 Pr.upf
CELL_PARAMETERS angstrom
-4.0288 -0.2837 0.2173
0.3167 0.8229 6.9476
-0.3957 6.8148 1.5648
ATOMIC_POSITIONS crystal
Ho 0.0000 0.5001 0.5000
Ho 0.5000 0.0001 0.5000
Ho 0.9999 0.0001 0.0000
P 0.5001 0.7544 0.2543
P 0.4998 0.2458 0.7457
P 0.0000 0.2414 0.2587
P 0.0000 0.7589 0.7412
Pr 0.5000 0.5001 0.0000
```

=====

Material: PrHoP2
Method: DFT, PBE
State: optimized geometry Values from VASP.

Uncorrected energy: -0.242 hartree per atom
DFT formation energy: -1553 meV/atom
Space-group type: R-3m, No. 166

```
&SYSTEM
  ibrav = 0, nat = 4, ntyp = 3
/
ATOMIC_SPECIES
P 30.97 P.upf
Ho 164.93 Ho.upf
Pr 140.91 Pr.upf
CELL_PARAMETERS angstrom
-2.7724 -2.0800 2.1898
-1.8158 -3.3071 -1.6044
3.3238 -5.6633 2.6696
ATOMIC_POSITIONS crystal
P 0.7457 0.7457 0.7631
P 0.2543 0.2543 0.2369
Ho 0.0000 0.0000 0.0000
Pr 0.5000 0.5000 0.5000
```